(1)
## Na6Nb8P5O35 (meta-GGA SCAN)

Data for Na6Nb8P5O35 at its PBEsol-relaxed geometry.

a = 8.9801 Å, b = 8.9801 Å, c = 11.3480 Å
α = 66.69°, β = 66.69°, γ = 60.00°
Last column: magnetic moment on the atom in μB.
Sites, in units of the cell vectors:
Na1 0.0000 0.5756 0.0000  0.00
Na2 0.4244 0.0000 0.0000  0.00
Na3 0.7148 0.5000 0.5000  0.00
Na4 0.5756 0.4244 0.0000  0.00
Na5 0.5000 0.2852 0.5000  0.00
Na6 0.2852 0.7148 0.5000  0.00
Nb1 0.2358 0.2358 0.2926  0.04
Nb2 0.2975 0.8187 0.8096  0.17
Nb3 0.0741 0.2975 0.8096  0.17
Nb4 0.9259 0.1813 0.1904  0.17
Nb5 0.8187 0.0741 0.8096  0.17
Nb6 0.1813 0.7025 0.1904  0.17
Nb7 0.7642 0.7642 0.7074  0.04
Nb8 0.7025 0.9259 0.1904  0.17
P1 0.4048 0.4048 0.7856  0.00
P2 0.5000 0.9375 0.5000  0.00
P3 0.9375 0.0625 0.5000  0.00
P4 0.0625 0.5000 0.5000  0.00
P5 0.5952 0.5952 0.2144  0.00
O1 0.1722 0.3834 0.6052  0.00
O2 0.5606 0.7093 0.8013  -0.01
O3 0.3892 0.1290 0.4325  0.00
O4 0.2907 0.4394 0.1987  -0.01
O5 0.6957 0.7184 0.1539  0.00
O6 0.6108 0.9506 0.5675  0.00
O7 0.7471 0.0989 0.2078  -0.02
O8 0.2357 0.7643 0.0000  -0.02
O9 0.4546 0.4546 0.6363  0.00
O10 0.1608 0.6166 0.3948  0.00
O11 0.9506 0.8710 0.5675  0.00
O12 0.1290 0.0494 0.4325  0.00
O13 0.2529 0.0537 0.7922  -0.02
O14 0.3043 0.5680 0.8461  0.00
O15 0.7184 0.4320 0.1539  0.00
O16 0.3834 0.8392 0.6052  0.00
O17 0.6166 0.8278 0.3948  0.00
O18 0.4394 0.0712 0.1987  -0.01
O19 0.4320 0.6957 0.1539  0.00
O20 0.9011 0.2529 0.7922  -0.02
O21 0.2816 0.3043 0.8461  0.00
O22 0.0537 0.9011 0.7922  -0.02
O23 0.7643 0.0000 0.0000  -0.02
O24 0.7093 0.9288 0.8013  -0.01
O25 0.9288 0.5606 0.8013  -0.01
O26 0.9463 0.7471 0.2078  -0.02
O27 0.5680 0.2816 0.8461  0.00
O28 0.8710 0.6108 0.5675  0.00
O29 0.8392 0.1722 0.6052  0.00
O30 0.0712 0.2907 0.1987  -0.01
O31 0.5454 0.5454 0.3637  0.00
O32 0.0000 0.2357 0.0000  -0.02
O33 0.8278 0.1608 0.3948  0.00
O34 0.0989 0.9463 0.2078  -0.02
O35 0.0494 0.3892 0.4325  0.00

Computed properties:
Energy relative to the elements, uncorrected ... -2.644 eV per atom

=====

(2)
## NaNbP2O (meta-GGA SCAN)

Data for NaNbP2O at its PBEsol-relaxed geometry.

a = 3.9374 Å, b = 4.9325 Å, c = 4.9325 Å
α = 90.00°, β = 90.00°, γ = 90.00°
Last column: magnetic moment on the atom in μB.
Sites, in units of the cell vectors:
P1 0.0000 0.0000 0.5000  0.15
P2 0.0000 0.5000 0.0000  0.15
Nb1 0.0000 0.0000 0.0000  -0.08
O1 0.5000 0.0000 0.0000  0.15
Na1 0.5000 0.5000 0.5000  0.00

Computed properties:
Energy relative to the elements, uncorrected ... -0.643 eV per atom

=====

(3)
## NaNb2PO8 (meta-GGA SCAN)

Data for NaNb2PO8 at its PBEsol-relaxed geometry.

a = 5.4291 Å, b = 6.7428 Å, c = 18.0429 Å
α = 90.00°, β = 90.00°, γ = 90.00°
Sites, in units of the cell vectors:
Na1 0.8060 0.2794 0.2855
Na2 0.2299 0.7796 0.2144
Na3 0.7299 0.2204 0.7856
Na4 0.3060 0.7206 0.7145
Nb1 0.2711 0.4859 0.3733
Nb2 0.7665 0.3405 0.9612
Nb3 0.7692 0.1594 0.4612
Nb4 0.2647 0.0141 0.8733
Nb5 0.2692 0.8406 0.5388
Nb6 0.7711 0.5141 0.6267
Nb7 0.7647 0.9859 0.1267
Nb8 0.2665 0.6595 0.0388
P1 0.7873 0.7001 0.8138
P2 0.2873 0.2999 0.1862
P3 0.7485 0.7999 0.3138
P4 0.2485 0.2001 0.6862
O1 0.7635 0.9836 0.3639
O2 0.2675 0.8443 0.9592
O3 0.2681 0.6558 0.4591
O4 0.2635 0.0164 0.6361
O5 0.0480 0.7920 0.8160
O6 0.0549 0.6535 0.6067
O7 0.5773 0.5346 0.0098
O8 0.5480 0.2080 0.1840
O9 0.9878 0.2921 0.6840
O10 0.4878 0.7079 0.3160
O11 0.7954 0.8717 0.2330
O12 0.0461 0.2960 0.4089
O13 0.5549 0.3465 0.3933
O14 0.0773 0.4654 0.9902
O15 0.2402 0.3713 0.2670
O16 0.9898 0.7960 0.0911
O17 0.0855 0.1475 0.1689
O18 0.4898 0.2040 0.9089
O19 0.4809 0.8465 0.1067
O20 0.7675 0.1557 0.0408
O21 0.7722 0.5163 0.8638
O22 0.9503 0.6475 0.3309
O23 0.9809 0.1535 0.8933
O24 0.7402 0.6287 0.7330
O25 0.4583 0.0347 0.4902
O26 0.2954 0.1283 0.7670
O27 0.4503 0.3525 0.6691
O28 0.5461 0.7040 0.5911
O29 0.9583 0.9653 0.5098
O30 0.2722 0.4837 0.1362
O31 0.7681 0.3442 0.5409
O32 0.5855 0.8525 0.8311

Computed properties:
Energy relative to the elements, uncorrected ... -2.655 eV per atom

=====

(4)
## Na2Nb4Se4O19 (meta-GGA SCAN)

Data for Na2Nb4Se4O19 at its PBEsol-relaxed geometry.

a = 3.9385 Å, b = 10.2714 Å, c = 11.0139 Å
α = 106.09°, β = 89.93°, γ = 97.71°
Sites, in units of the cell vectors:
Na1 0.7754 0.9370 0.8599
Na2 0.2246 0.0630 0.1401
Nb1 0.3457 0.1860 0.7043
Nb2 0.6543 0.8140 0.2957
Nb3 0.5628 0.5548 0.6821
Nb4 0.4372 0.4452 0.3179
Se1 0.3387 0.8244 0.5848
Se2 0.6613 0.1756 0.4152
Se3 0.2787 0.7189 0.9856
Se4 0.7213 0.2811 0.0144
O1 0.6428 0.8784 0.4878
O2 0.3572 0.1216 0.5122
O3 0.3099 0.9751 0.6987
O4 0.6901 0.0249 0.3013
O5 0.6090 0.7627 0.6709
O6 0.3910 0.2373 0.3291
O7 0.5664 0.6496 0.8742
O8 0.4336 0.3504 0.1258
O9 0.6013 0.7733 0.1088
O10 0.3987 0.2267 0.8912
O11 0.2440 0.8688 0.9584
O12 0.7560 0.1312 0.0416
O13 0.8760 0.1742 0.7070
O14 0.1240 0.8258 0.2930
O15 0.4602 0.3723 0.6993
O16 0.5398 0.6277 0.3007
O17 0.5000 0.5000 0.5000
O18 0.0371 0.5763 0.6936
O19 0.9629 0.4237 0.3064

Computed properties:
Energy relative to the elements, uncorrected ... -1.943 eV per atom

=====

(5)
## Na3SrTiNb3O12 (meta-GGA SCAN)

Data for Na3SrTiNb3O12 at its PBEsol-relaxed geometry.

a = 7.7964 Å, b = 7.8625 Å, c = 7.8238 Å
α = 90.13°, β = 90.17°, γ = 90.13°
Sites, in units of the cell vectors:
Na1 0.7510 0.7508 0.2495
Na2 0.7507 0.7500 0.7524
Na3 0.2538 0.7506 0.7351
Na4 0.7462 0.2494 0.2649
Na5 0.2493 0.2500 0.2476
Na6 0.2490 0.2492 0.7505
Sr1 0.2496 0.7491 0.2353
Sr2 0.7504 0.2509 0.7647
Ti1 0.0000 0.5000 0.0000
Ti2 0.5000 0.0000 0.5000
Nb1 0.0000 0.0000 0.0000
Nb2 0.0000 0.0000 0.5000
Nb3 0.5000 0.0000 0.0000
Nb4 0.0000 0.5000 0.5000
Nb5 0.5000 0.5000 0.0000
Nb6 0.5000 0.5000 0.5000
O1 0.5411 0.9809 0.7494
O2 0.9545 0.9805 0.7502
O3 0.2500 0.9557 0.9651
O4 0.7489 0.9770 0.4605
O5 0.5342 0.7499 0.0332
O6 0.9688 0.7494 0.0293
O7 0.4688 0.7512 0.4814
O8 0.0339 0.7500 0.4815
O9 0.2492 0.5407 0.9685
O10 0.7498 0.5256 0.4559
O11 0.4542 0.4783 0.2500
O12 0.0417 0.4825 0.2488
O13 0.9583 0.5175 0.7512
O14 0.5458 0.5217 0.7500
O15 0.2502 0.4744 0.5441
O16 0.7508 0.4593 0.0315
O17 0.9661 0.2500 0.5185
O18 0.5312 0.2488 0.5186
O19 0.0312 0.2506 0.9707
O20 0.4658 0.2501 0.9668
O21 0.2511 0.0230 0.5395
O22 0.7500 0.0443 0.0349
O23 0.0455 0.0195 0.2498
O24 0.4589 0.0191 0.2506

Computed properties:
Energy relative to the elements, uncorrected ... -2.819 eV per atom

=====

(6)
## Na3SrTiNb3O12 (meta-GGA SCAN)

Data for Na3SrTiNb3O12 at its PBEsol-relaxed geometry.

a = 7.8502 Å, b = 7.7803 Å, c = 7.8441 Å
α = 90.00°, β = 90.00°, γ = 89.84°
Sites, in units of the cell vectors:
Na1 0.7500 0.2500 0.7454
Na2 0.7500 0.7500 0.7638
Na3 0.7500 0.7500 0.2333
Na4 0.2500 0.2500 0.7667
Na5 0.2500 0.2500 0.2362
Na6 0.2500 0.7500 0.2546
Sr1 0.7500 0.2500 0.2279
Sr2 0.2500 0.7500 0.7721
Ti1 0.5000 0.5000 0.0000
Ti2 0.0000 0.0000 0.0000
Nb1 0.5000 0.0000 0.0000
Nb2 0.5000 0.0000 0.5000
Nb3 0.5000 0.5000 0.5000
Nb4 0.0000 0.0000 0.5000
Nb5 0.0000 0.5000 0.0000
Nb6 0.0000 0.5000 0.5000
O1 0.7519 0.9768 0.0236
O2 0.7481 0.5232 0.0236
O3 0.7492 0.0501 0.4893
O4 0.5310 0.2522 0.9670
O5 0.5423 0.7508 0.4582
O6 0.4841 0.0445 0.2511
O7 0.4861 0.4595 0.2493
O8 0.5159 0.9555 0.7489
O9 0.5139 0.5405 0.7507
O10 0.4577 0.2492 0.5418
O11 0.4690 0.7478 0.0331
O12 0.2481 0.0232 0.9764
O13 0.2508 0.9499 0.5107
O14 0.2519 0.4768 0.9764
O15 0.2492 0.5501 0.5107
O16 0.0310 0.7522 0.0331
O17 0.0423 0.2508 0.5418
O18 0.9861 0.9595 0.7507
O19 0.9841 0.5445 0.7489
O20 0.0139 0.0405 0.2493
O21 0.0159 0.4555 0.2511
O22 0.9577 0.7492 0.4582
O23 0.9690 0.2478 0.9670
O24 0.7508 0.4499 0.4893

Computed properties:
Energy relative to the elements, uncorrected ... -2.823 eV per atom

=====

(7)
## Na3TbTi2Nb2O12 (meta-GGA SCAN)

Data for Na3TbTi2Nb2O12 at its PBEsol-relaxed geometry.

a = 5.3920 Å, b = 5.5218 Å, c = 7.7080 Å
α = 89.99°, β = 89.95°, γ = 89.32°
Sites, in units of the cell vectors:
Na1 0.4970 0.5278 0.7485
Na2 0.9948 0.0040 0.7517
Na3 0.5106 0.4616 0.2503
Tb1 0.9914 0.9366 0.2504
Ti1 0.4903 0.9855 0.0062
Ti2 0.0048 0.4795 0.4960
Nb1 0.4938 0.9948 0.5096
Nb2 0.0047 0.4795 0.9903
O1 0.2013 0.8068 0.9806
O2 0.2968 0.3078 0.5361
O3 0.8054 0.2094 0.4502
O4 0.7173 0.7310 0.0520
O5 0.8025 0.2045 0.0499
O6 0.7211 0.7287 0.4474
O7 0.1966 0.8059 0.5205
O8 0.3033 0.2998 0.9609
O9 0.5626 0.9806 0.7542
O10 0.9249 0.4967 0.7457
O11 0.4059 0.0325 0.2473
O12 0.0749 0.5269 0.2521

Computed properties:
Energy relative to the elements, uncorrected ... -2.984 eV per atom

=====

(8)
## NaNb3Te4O16 (meta-GGA SCAN)

Data for NaNb3Te4O16 at its PBEsol-relaxed geometry.

a = 6.5548 Å, b = 7.4471 Å, c = 14.1807 Å
α = 90.00°, β = 101.67°, γ = 90.00°
Sites, in units of the cell vectors:
Na1 0.5000 0.5000 0.5000
Na2 0.5000 0.0000 0.5000
Nb1 0.9180 0.5002 0.7240
Nb2 0.9180 0.9998 0.7240
Nb3 0.0820 0.4998 0.2760
Nb4 0.0000 0.5000 0.0000
Nb5 0.0820 0.0002 0.2760
Nb6 0.0000 0.0000 0.0000
Te1 0.4981 0.2500 0.0015
Te2 0.4132 0.2500 0.7208
Te3 0.9538 0.7500 0.4985
Te4 0.4090 0.7500 0.7131
Te5 0.5019 0.7500 0.9985
Te6 0.0462 0.2500 0.5015
Te7 0.5910 0.2500 0.2869
Te8 0.5868 0.7500 0.2792
O1 0.9835 0.2500 0.2624
O2 0.6134 0.5633 0.7028
O3 0.2204 0.4477 0.7172
O4 0.7046 0.2500 0.4188
O5 0.8511 0.2500 0.6849
O6 0.6116 0.7500 0.1282
O7 0.2954 0.7500 0.5812
O8 0.2204 0.0523 0.7172
O9 0.6479 0.7500 0.4235
O10 0.0555 0.5345 0.1431
O11 0.7796 0.9477 0.2828
O12 0.1226 0.0567 0.4275
O13 0.9445 0.0345 0.8569
O14 0.3866 0.4367 0.2972
O15 0.1489 0.7500 0.3151
O16 0.0165 0.7500 0.7376
O17 0.6134 0.9367 0.7028
O18 0.9445 0.4655 0.8569
O19 0.7011 0.4401 0.9998
O20 0.8774 0.9433 0.5725
O21 0.2989 0.9401 0.0002
O22 0.3884 0.2500 0.8718
O23 0.9113 0.7500 0.9810
O24 0.1226 0.4433 0.4275
O25 0.3521 0.2500 0.5765
O26 0.7011 0.0599 0.9998
O27 0.8774 0.5567 0.5725
O28 0.2989 0.5599 0.0002
O29 0.0887 0.2500 0.0190
O30 0.3866 0.0633 0.2972
O31 0.0555 0.9655 0.1431
O32 0.7796 0.5523 0.2828

Computed properties:
Energy relative to the elements, uncorrected ... -1.907 eV per atom

=====

(9)
## Na3TmTi2Nb2O12 (meta-GGA SCAN)

Data for Na3TmTi2Nb2O12 at its PBEsol-relaxed geometry.

a = 5.3602 Å, b = 5.5205 Å, c = 7.6755 Å
α = 89.99°, β = 89.95°, γ = 89.10°
Sites, in units of the cell vectors:
Na1 0.4938 0.5348 0.7487
Na2 0.9945 0.0059 0.7519
Na3 0.5111 0.4600 0.2503
Tm1 0.9905 0.9293 0.2506
Ti1 0.4878 0.9859 0.0069
Ti2 0.0036 0.4781 0.4949
Nb1 0.4921 0.9961 0.5084
Nb2 0.0038 0.4774 0.9916
O1 0.5636 0.9802 0.7540
O2 0.9215 0.4923 0.7458
O3 0.3942 0.0346 0.2472
O4 0.0793 0.5323 0.2521
O5 0.2002 0.8071 0.9798
O6 0.3012 0.3114 0.5372
O7 0.8112 0.2048 0.4442
O8 0.7177 0.7311 0.0550
O9 0.8090 0.1998 0.0561
O10 0.7217 0.7289 0.4444
O11 0.1954 0.8073 0.5210
O12 0.3080 0.3028 0.9599

Computed properties:
Energy relative to the elements, uncorrected ... -2.990 eV per atom

=====

(10)
## NaNbWO6 (meta-GGA SCAN)

Data for NaNbWO6 at its PBEsol-relaxed geometry.

a = 7.3603 Å, b = 7.3548 Å, c = 7.3548 Å
α = 59.92°, β = 59.98°, γ = 59.98°
Sites, in units of the cell vectors:
Na1 0.5000 0.0000 0.0000
Na2 0.5000 0.5000 0.5000
Nb1 0.0000 0.0000 0.5000
Nb2 0.5000 0.0000 0.5000
W1 0.0000 0.5000 0.5000
W2 0.0000 0.0000 0.0000
O1 0.3056 0.3177 0.4396
O2 0.9371 0.3177 0.4396
O3 0.9461 0.3039 0.8039
O4 0.9371 0.9396 0.8177
O5 0.3056 0.9396 0.8177
O6 0.3227 0.9273 0.4273
O7 0.6944 0.6823 0.5604
O8 0.0629 0.6823 0.5604
O9 0.0539 0.6961 0.1961
O10 0.0629 0.0604 0.1823
O11 0.6944 0.0604 0.1823
O12 0.6773 0.0727 0.5727

Computed properties:
Energy relative to the elements, uncorrected ... -2.412 eV per atom

=====

(11)
## Na2NbP2 (meta-GGA SCAN)

Data for Na2NbP2 at its PBEsol-relaxed geometry.

a = 4.6433 Å, b = 6.4542 Å, c = 6.4542 Å
α = 90.00°, β = 90.00°, γ = 90.00°
Last column: magnetic moment on the atom in μB.
Sites, in units of the cell vectors:
P1 0.0000 0.3725 0.8725  -0.02
P2 0.0000 0.8725 0.6275  -0.02
P3 0.0000 0.6275 0.1275  -0.02
P4 0.0000 0.1275 0.3725  -0.02
Nb1 0.0000 0.0000 0.0000  1.42
Nb2 0.0000 0.5000 0.5000  1.42
Na1 0.5000 0.1745 0.6745  0.01
Na2 0.5000 0.6745 0.8255  0.01
Na3 0.5000 0.8255 0.3255  0.01
Na4 0.5000 0.3255 0.1745  0.01

Computed properties:
ΔH_f (0 K) ... -0.2762 eV per atom

=====

(12)
## NaNbPb3 (meta-GGA SCAN)

Data for NaNbPb3 at its PBEsol-relaxed geometry.

a = 5.4794 Å, b = 5.4794 Å, c = 5.4794 Å
α = 90.00°, β = 90.00°, γ = 90.00°
Sites, in units of the cell vectors:
Pb1 0.0000 0.5000 0.0000
Pb2 0.0000 0.0000 0.5000
Pb3 0.5000 0.0000 0.0000
Na1 0.5000 0.5000 0.5000
Nb1 0.0000 0.0000 0.0000

Computed properties:
ΔH_f (0 K) ... 0.1057 eV per atom

=====

(13)
## NaNb2PdRh (meta-GGA SCAN)

Data for NaNb2PdRh at its PBEsol-relaxed geometry.

a = 4.7664 Å, b = 4.7664 Å, c = 4.9260 Å
α = 90.00°, β = 90.00°, γ = 90.00°
Sites, in units of the cell vectors:
Na1 0.5000 0.5000 0.5000
Nb1 0.0000 0.5000 0.0000
Nb2 0.5000 0.0000 0.0000
Rh1 0.0000 0.0000 0.5000
Pd1 0.0000 0.0000 0.0000

Computed properties:
ΔH_f (0 K) ... 1.2675 eV per atom